1.
# TlAs2SeBr

Crystalline TlAs2SeBr at its relaxed geometry (PBE-GGA, Alexandria).

Lattice parameters (Å, degrees): 5.486 5.486 5.317 90.00 90.00 90.00
Positions (direct):
As: 0.000 0.500 0.000
As: 0.500 0.000 0.000
Tl: 0.000 0.000 0.000
Se: 0.000 0.000 0.500
Br: 0.500 0.500 0.500

Calculated values
- Formation energy (no corrections): 966 meV per atom
- Crystal system: tetragonal
- Energy above the lowest structure with this stoichiometry: 593 meV/atom


2.
# MgUSnAu

Crystalline MgUSnAu at its relaxed geometry (PBE-GGA, Alexandria).

Lattice parameters (Å, degrees): 5.070 5.070 5.070 60.00 60.00 60.00
Positions (direct):
Au: 0.500 0.500 0.500
Mg: 0.250 0.250 0.250
U: 0.750 0.750 0.750
Sn: 0.000 0.000 0.000

Calculated values
- Crystal system: cubic
- DFT formation energy: -0.1621 eV per atom


Calculated final energy (eV per atom), listed in the same order as above: -2.3982 -5.2028
Calculated magnetization (μB per formula unit), listed in the same order as above: 0.825 2.815